Crystalline Be2ZnCo at its relaxed geometry, computed with GGA-PBEsol.

Values from the calculation:
ρ: 6.25 g/cm³
Uncorrected energy: -4.47 eV per atom
Crystal system: orthorhombic
Total moment: 0.000 μB per atom
Space-group type: Imm2

a b c (Å): 2.748 3.634 7.582
angles (deg): 90.00 90.00 90.00
Fractional coordinates of all 8 atoms:
Be 0.000 0.000 0.000
Be 0.000 0.500 0.257
Be 0.500 0.000 0.757
Be 0.500 0.500 0.500
Zn 0.000 0.000 0.500
Zn 0.500 0.500 0.000
Co 0.000 0.500 0.735
Co 0.500 0.000 0.235

=====

Crystalline Be2ZnCo at its relaxed geometry, computed with GGA-PBEsol.

Values from the calculation:
ρ: 6.19 g/cm³
Uncorrected energy: -4.51 eV per atom
Crystal system: tetragonal
Total moment: 0.000 μB per atom
Space-group type: P4/mmm

a b c (Å): 2.673 2.673 5.345
angles (deg): 90.00 90.00 90.00
Fractional coordinates of all 4 atoms:
Be 0.000 0.000 0.210
Be 0.000 0.000 0.790
Zn 0.500 0.500 0.500
Co 0.500 0.500 0.000

=====

Crystalline Be4ZnCo at its relaxed geometry, computed with GGA-PBEsol.

Values from the calculation:
ρ: 5.13 g/cm³
Uncorrected energy: -4.40 eV per atom
Crystal system: cubic
Total moment: 0.000 μB per atom
Space-group type: F-43m

a b c (Å): 4.189 4.189 4.189
angles (deg): 60.00 60.00 60.00
Fractional coordinates of all 6 atoms:
Be 0.376 0.376 0.376
Be 0.376 0.376 0.872
Be 0.376 0.872 0.376
Be 0.872 0.376 0.376
Zn 0.000 0.000 0.000
Co 0.750 0.750 0.750

=====

Crystalline Zr2BeCo at its relaxed geometry, computed with GGA-PBEsol.

Values from the calculation:
ρ: 6.78 g/cm³
Uncorrected energy: -7.50 eV per atom
Crystal system: tetragonal
Total moment: 0.000 μB per atom
Space-group type: I-4m2

a b c (Å): 3.717 3.717 8.876
angles (deg): 90.00 90.00 90.00
Fractional coordinates of all 8 atoms:
Zr 0.000 0.000 0.000
Zr 0.000 0.500 0.250
Zr 0.500 0.000 0.750
Zr 0.500 0.500 0.500
Be 0.000 0.000 0.500
Be 0.500 0.500 0.000
Co 0.000 0.500 0.750
Co 0.500 0.000 0.250

=====

Crystalline Zr2BeCo at its relaxed geometry, computed with GGA-PBEsol.

Values from the calculation:
ρ: 6.76 g/cm³
Uncorrected energy: -7.67 eV per atom
Crystal system: tetragonal
Total moment: 0.000 μB per atom
Space-group type: P4/mmm

a b c (Å): 3.171 3.171 6.120
angles (deg): 90.00 90.00 90.00
Fractional coordinates of all 4 atoms:
Zr 0.000 0.000 0.248
Zr 0.000 0.000 0.752
Be 0.500 0.500 0.500
Co 0.500 0.500 0.000

=====

Crystalline ZrBeCo2 at its relaxed geometry, computed with GGA-PBEsol.

Values from the calculation:
ρ: 7.20 g/cm³
Uncorrected energy: -7.10 eV per atom
Crystal system: cubic
Total moment: 0.748 μB per atom
Space-group type: F-43m

a b c (Å): 5.859 5.859 5.859
angles (deg): 90.00 90.00 90.00
Fractional coordinates of all 16 atoms:
Zr 0.000 0.000 0.000
Zr 0.000 0.500 0.500
Zr 0.500 0.000 0.500
Zr 0.500 0.500 0.000
Be 0.250 0.250 0.250
Be 0.250 0.750 0.750
Be 0.750 0.250 0.750
Be 0.750 0.750 0.250
Co 0.000 0.000 0.500
Co 0.000 0.500 0.000
Co 0.250 0.250 0.750
Co 0.250 0.750 0.250
Co 0.500 0.000 0.000
Co 0.500 0.500 0.500
Co 0.750 0.250 0.250
Co 0.750 0.750 0.750

=====

> Which value of uncorrected energy does entry 5 give?

-7.67 eV per atom